Here is an optimized crystal structure of Re3TcC from Alexandria. Energies are from PBE.

Summary:
ΔE to the lowest computed polymorph (kJ/mol of atoms): 308.1
Magnetization (μB/f.u.): 0.002
Formation energy (eV per atom): 3.468

abc: 4.6489 4.6489 4.6489
angles: 90.00 90.00 90.00
Space group Pm-3m (No. 221)
Inequivalent atoms, fractional coordinates:
Re 0.0000 0.0000 0.5000 [3 per cell]
Tc 0.0000 0.0000 0.0000 [1 per cell]
C 0.5000 0.5000 0.5000 [1 per cell]

=====

Here is an optimized crystal structure of Re2TcC from Alexandria. Energies are from PBE.

Summary:
Magnetization (μB/f.u.): 0.000
Formation energy (eV per atom): 0.927

abc: 5.0100 5.0100 10.4230
angles: 90.00 90.00 90.00
Space group I-42d (No. 122)
Inequivalent atoms, fractional coordinates:
Re 0.1698 0.2500 0.1250 [8 per cell]
Tc 0.0000 0.0000 0.5000 [4 per cell]
C 0.0000 0.0000 0.0000 [4 per cell]

=====

Here is an optimized crystal structure of ReTeC3 from Alexandria. Energies are from PBE.

Summary:
ΔE to the lowest computed polymorph (kJ/mol of atoms): 141.9
Formation energy (no corrections) (kJ per mole of atoms): 333.0
Magnetization (μB/f.u.): 0.000

abc: 4.0576 4.0576 4.0576
angles: 90.00 90.00 90.00
Space group Pm-3m (No. 221)
Inequivalent atoms, fractional coordinates:
Re 0.0000 0.0000 0.0000 [1 per cell]
Te 0.5000 0.5000 0.5000 [1 per cell]
C 0.0000 0.5000 0.5000 [3 per cell]

=====

Here is an optimized crystal structure of ReTe3C from Alexandria. Energies are from PBE.

Summary:
ΔE to the lowest computed polymorph (kJ/mol of atoms): 37.1
Formation energy (no corrections) (kJ per mole of atoms): 189.3
Magnetization (μB/f.u.): 1.572

abc: 5.2369 5.2369 5.2369
angles: 90.00 90.00 90.00
Space group Pm-3m (No. 221)
Inequivalent atoms, fractional coordinates:
Re 0.0000 0.0000 0.0000 [1 per cell]
Te 0.0000 0.0000 0.5000 [3 per cell]
C 0.5000 0.5000 0.5000 [1 per cell]

=====

Here is an optimized crystal structure of ReTe3C from Alexandria. Energies are from PBE.

Summary:
ΔE to the lowest computed polymorph (kJ/mol of atoms): 0.0
Formation energy (no corrections) (kJ per mole of atoms): 152.2
Magnetization (μB/f.u.): 0.000

abc: 4.5942 4.5942 4.5942
angles: 90.00 90.00 90.00
Space group Pm-3m (No. 221)
Inequivalent atoms, fractional coordinates:
Re 0.0000 0.0000 0.0000 [1 per cell]
Te 0.0000 0.5000 0.5000 [3 per cell]
C 0.5000 0.5000 0.5000 [1 per cell]

=====

Here is an optimized crystal structure of ReTeC2 from Alexandria. Energies are from PBE.

Summary:
Formation energy (no corrections) (kJ per mole of atoms): 116.1
Magnetization (μB/f.u.): 0.000

abc: 5.2683 5.2683 9.5094
angles: 90.00 90.00 90.00
Space group I-42d (No. 122)
Inequivalent atoms, fractional coordinates:
Re 0.0000 0.0000 0.0000 [4 per cell]
Te 0.0000 0.0000 0.5000 [4 per cell]
C 0.1547 0.2500 0.1250 [8 per cell]

=====

Here is an optimized crystal structure of Re2TeC from Alexandria. Energies are from PBE.

Summary:
ΔE to the lowest computed polymorph (kJ/mol of atoms): 0.0
Formation energy (no corrections) (kJ per mole of atoms): 78.0
Magnetization (μB/f.u.): 0.000

abc: 4.7588 4.7588 12.5758
angles: 90.00 90.00 90.00
Space group I-42d (No. 122)
Inequivalent atoms, fractional coordinates:
Re 0.1220 0.2500 0.1250 [8 per cell]
Te 0.0000 0.0000 0.5000 [4 per cell]
C 0.0000 0.0000 0.0000 [4 per cell]

=====

Here is an optimized crystal structure of ReTeC3 from Alexandria. Energies are from PBE.

Summary:
ΔE to the lowest computed polymorph (kJ/mol of atoms): 0.0
Formation energy (no corrections) (kJ per mole of atoms): 191.1
Magnetization (μB/f.u.): 0.000

abc: 4.1146 4.1146 4.1146
angles: 90.00 90.00 90.00
Space group Pm-3m (No. 221)
Inequivalent atoms, fractional coordinates:
Re 0.0000 0.0000 0.0000 [1 per cell]
Te 0.5000 0.5000 0.5000 [1 per cell]
C 0.0000 0.0000 0.5000 [3 per cell]

=====

Here is an optimized crystal structure of Re2TeC from Alexandria. Energies are from PBE.

Summary:
ΔE to the lowest computed polymorph (kJ/mol of atoms): 75.3
Formation energy (no corrections) (kJ per mole of atoms): 153.3
Magnetization (μB/f.u.): 0.000

abc: 6.1275 6.1275 6.1275
angles: 90.00 90.00 90.00
Space group Fm-3m (No. 225)
Inequivalent atoms, fractional coordinates:
Re 0.2500 0.2500 0.2500 [8 per cell]
Te 0.0000 0.0000 0.0000 [4 per cell]
C 0.0000 0.0000 0.5000 [4 per cell]

=====

Here is an optimized crystal structure of TlReTe2C from Alexandria. Energies are from PBE.

Summary:
Formation energy (no corrections) (kJ per mole of atoms): 170.3
Magnetization (μB/f.u.): 2.169

abc: 5.1693 5.1693 5.4958
angles: 90.00 90.00 90.00
Space group P4/mmm (No. 123)
Inequivalent atoms, fractional coordinates:
Tl 0.0000 0.0000 0.0000 [1 per cell]
Re 0.0000 0.0000 0.5000 [1 per cell]
Te 0.0000 0.5000 0.5000 [2 per cell]
C 0.5000 0.5000 0.0000 [1 per cell]

=====

Here is an optimized crystal structure of ThReC2 from Alexandria. Energies are from PBE.

Summary:
ΔE to the lowest computed polymorph (kJ/mol of atoms): 106.5
Magnetization (μB/f.u.): 0.000
Formation energy (eV per atom): 1.008

abc: 3.7878 3.7878 18.2907
angles: 90.00 90.00 120.00
Space group R-3m (No. 166, hexagonal axes)
Inequivalent atoms, fractional coordinates:
Th 0.0000 0.0000 0.0000 [3 per cell]
Re 0.0000 0.0000 0.5000 [3 per cell]
C 0.0000 0.0000 0.3960 [6 per cell]

=====

Here is an optimized crystal structure of Th2ReC2 from Alexandria. Energies are from PBE.

Summary:
Magnetization (μB/f.u.): 0.000
Formation energy (eV per atom): -0.320

abc: 6.6875 5.3648 10.1769
angles: 90.00 90.00 90.00
Space group Pnma (No. 62)
Inequivalent atoms, fractional coordinates:
Th 0.0242 0.2500 0.2243 [4 per cell]
Th 0.1932 0.2500 0.5481 [4 per cell]
Re 0.2305 0.2500 0.8616 [4 per cell]
C 0.0299 0.7500 0.2429 [4 per cell]
C 0.1680 0.7500 0.5518 [4 per cell]

=====

Here is an optimized crystal structure of Th2ReC5 from Alexandria. Energies are from PBE.

Summary:
Magnetization (μB/f.u.): 0.000
Formation energy (eV per atom): 0.830

abc: 5.5412 5.5412 7.3112
angles: 90.00 90.00 90.00
Space group I4mm (No. 107)
Inequivalent atoms, fractional coordinates:
Th 0.0000 0.5000 0.0000 [4 per cell]
Re 0.0000 0.0000 0.2678 [2 per cell]
C 0.0000 0.0000 0.5412 [2 per cell]
C 0.2416 0.2416 0.7362 [8 per cell]

=====

Here is an optimized crystal structure of Th2ReC3 from Alexandria. Energies are from PBE.

Summary:
Magnetization (μB/f.u.): 0.000
Formation energy (eV per atom): -0.164

abc: 3.6088 4.0337 13.2927
angles: 90.00 90.00 90.00
Space group Immm (No. 71)
Inequivalent atoms, fractional coordinates:
Th 0.0000 0.0000 0.1468 [4 per cell]
Re 0.0000 0.0000 0.5000 [2 per cell]
C 0.0000 0.0000 0.3406 [4 per cell]
C 0.0000 0.5000 0.5000 [2 per cell]

=====

Here is an optimized crystal structure of Th2Re2C3 from Alexandria. Energies are from PBE.

Summary:
Magnetization (μB/f.u.): 0.000
Formation energy (eV per atom): -0.266

abc: 12.1927 3.3754 5.8159
angles: 90.00 115.01 90.00
Space group C2/m (No. 12)
Inequivalent atoms, fractional coordinates:
Th 0.1057 0.0000 0.3058 [4 per cell]
Re 0.1555 0.5000 0.8255 [4 per cell]
C 0.0000 0.5000 0.5000 [2 per cell]
C 0.2455 0.0000 0.7665 [4 per cell]

=====

Here is an optimized crystal structure of ThReC from Alexandria. Energies are from PBE.

Summary:
Magnetization (μB/f.u.): 0.000
Formation energy (eV per atom): 0.109

abc: 3.5361 3.5361 4.8400
angles: 90.00 90.00 120.00
Space group P-6m2 (No. 187)
Inequivalent atoms, fractional coordinates:
Th 0.0000 0.0000 0.0000 [1 per cell]
Re 0.6667 0.3333 0.5000 [1 per cell]
C 0.3333 0.6667 0.5000 [1 per cell]

=====

Here is an optimized crystal structure of ThRe2C2 from Alexandria. Energies are from PBE.

Summary:
Magnetization (μB/f.u.): 0.000
Formation energy (eV per atom): -0.016

abc: 6.7491 9.0693 9.6459
angles: 90.00 90.00 90.00
Space group Fddd (No. 70, origin choice 2)
Inequivalent atoms, fractional coordinates:
Th 0.1250 0.1250 0.1250 [8 per cell]
Re 0.1250 0.1250 0.4841 [16 per cell]
C 0.1250 0.3113 0.6250 [16 per cell]

=====

Here is an optimized crystal structure of ThReC2 from Alexandria. Energies are from PBE.

Summary:
ΔE to the lowest computed polymorph (kJ/mol of atoms): 0.0
Magnetization (μB/f.u.): 0.000
Formation energy (eV per atom): -0.095

abc: 5.6784 5.6784 6.8730
angles: 90.00 90.00 120.00
Space group P3_121 (No. 152)
Inequivalent atoms, fractional coordinates:
Th 0.0000 0.6547 0.1667 [3 per cell]
Re 0.0000 0.6327 0.6667 [3 per cell]
C 0.1220 0.4649 0.8587 [6 per cell]

=====

Here is an optimized crystal structure of Tm2ThReC4 from Alexandria. Energies are from PBE.

Summary:
Magnetization (μB/f.u.): 0.000
Formation energy (eV per atom): -0.177

abc: 3.4901 12.1063 12.0032
angles: 90.00 90.00 90.00
Space group Cmcm (No. 63)
Inequivalent atoms, fractional coordinates:
Tm 0.0000 0.1278 0.0392 [8 per cell]
Th 0.0000 0.4077 0.2500 [4 per cell]
Re 0.0000 0.3314 0.7500 [4 per cell]
C 0.0000 0.0780 0.2500 [4 per cell]
C 0.0000 0.2325 0.6289 [8 per cell]
C 0.0000 0.5000 0.0000 [4 per cell]

=====

Here is an optimized crystal structure of TmTh2ReC4 from Alexandria. Energies are from PBE.

Summary:
Magnetization (μB/f.u.): 0.000
Formation energy (eV per atom): 0.019

abc: 3.5785 12.0354 12.8398
angles: 90.00 90.00 90.00
Space group Cmcm (No. 63)
Inequivalent atoms, fractional coordinates:
Tm 0.0000 0.1086 0.2500 [4 per cell]
Th 0.0000 0.3656 0.0376 [8 per cell]
Re 0.0000 0.1620 0.7500 [4 per cell]
C 0.0000 0.0000 0.0000 [4 per cell]
C 0.0000 0.2691 0.6387 [8 per cell]
C 0.0000 0.4216 0.2500 [4 per cell]

=====

Here is an optimized crystal structure of Th2UReC4 from Alexandria. Energies are from PBE.

Summary:
Magnetization (μB/f.u.): 2.662
Formation energy (eV per atom): 0.104

abc: 3.5087 12.0414 12.7283
angles: 90.00 90.00 90.00
Space group Cmcm (No. 63)
Inequivalent atoms, fractional coordinates:
Th 0.0000 0.1352 0.0407 [8 per cell]
U 0.0000 0.3979 0.2500 [4 per cell]
Re 0.0000 0.3394 0.7500 [4 per cell]
C 0.0000 0.0672 0.2500 [4 per cell]
C 0.0000 0.2215 0.6429 [8 per cell]
C 0.0000 0.5000 0.0000 [4 per cell]

=====

Here is an optimized crystal structure of ThU2ReC4 from Alexandria. Energies are from PBE.

Summary:
Magnetization (μB/f.u.): 0.000
Formation energy (eV per atom): -0.104

abc: 3.5212 11.9488 11.6561
angles: 90.00 90.00 90.00
Space group Cmcm (No. 63)
Inequivalent atoms, fractional coordinates:
Th 0.0000 0.1094 0.2500 [4 per cell]
U 0.0000 0.3696 0.0472 [8 per cell]
Re 0.0000 0.1500 0.7500 [4 per cell]
C 0.0000 0.0000 0.0000 [4 per cell]
C 0.0000 0.2625 0.6177 [8 per cell]
C 0.0000 0.4481 0.2500 [4 per cell]

=====

Here is an optimized crystal structure of Y2ThReC4 from Alexandria. Energies are from PBE.

Summary:
Magnetization (μB/f.u.): 0.000
Formation energy (eV per atom): -0.122

abc: 3.5159 12.1886 12.2153
angles: 90.00 90.00 90.00
Space group Cmcm (No. 63)
Inequivalent atoms, fractional coordinates:
Y 0.0000 0.1287 0.0392 [8 per cell]
Th 0.0000 0.4081 0.2500 [4 per cell]
Re 0.0000 0.3305 0.7500 [4 per cell]
C 0.0000 0.0797 0.2500 [4 per cell]
C 0.0000 0.2312 0.6319 [8 per cell]
C 0.0000 0.5000 0.0000 [4 per cell]